Here is a relaxed HgSbBr2 crystal from Alexandria via LeMat-Bulk. Energies are from PBE.

Cell lengths 5.3656, 5.3656, 5.3656 Å; angles 60.00, 60.00, 60.00 degrees
With the nearest neighbours (Å) after each atom.
Sites, in units of the cell vectors:
1 Hg 0.0000 0.0000 0.0000  8 Br 3.29
2 Sb 0.5000 0.5000 0.5000  8 Br 3.29
3 Br 0.2500 0.2500 0.2500  4 Hg 3.29, 4 Sb 3.29
4 Br 0.7500 0.7500 0.7500  4 Hg 3.29, 4 Sb 3.29

## Properties
Its space-group type is Fm-3m. Its energy above the most stable polymorph in this dataset is 414 meV per atom. The formation energy without anion corrections comes out at 0.5 eV per formula unit. As for the total moment: 0.0 μB/f.u.

---

Here is a relaxed HgSb2Br2 crystal from Alexandria via LeMat-Bulk. Energies are from PBE.

Cell lengths 7.6823, 7.6823, 5.6105 Å; angles 90.00, 90.00, 90.00 degrees
With the nearest neighbours (Å) after each atom.
Sites, in units of the cell vectors:
1 Hg 0.0000 0.0000 0.0000  4 Sb 2.99
2 Hg 0.5000 0.5000 0.0000  4 Sb 2.99
3 Sb 0.1357 0.3643 0.0000  2 Br 2.84, 1 Sb 2.95, 2 Hg 2.99
4 Sb 0.3643 0.8643 0.0000  2 Br 2.84, 1 Sb 2.95, 2 Hg 2.99
5 Sb 0.6357 0.1357 0.0000  2 Br 2.84, 1 Sb 2.95, 2 Hg 2.99
6 Sb 0.8643 0.6357 0.0000  2 Br 2.84, 1 Sb 2.95, 2 Hg 2.99
7 Br 0.1749 0.3251 0.5000  2 Sb 2.84
8 Br 0.3251 0.8251 0.5000  2 Sb 2.84
9 Br 0.6749 0.1749 0.5000  2 Sb 2.84
10 Br 0.8251 0.6749 0.5000  2 Sb 2.84

## Properties
Its space-group type is P4/mbm. Its energy above the most stable polymorph in this dataset is 0 meV per atom. The formation energy without anion corrections comes out at -0.9 eV per formula unit. As for the total moment: 0.0 μB/f.u.

---

Here is a relaxed Hg2SbBr crystal from Alexandria via LeMat-Bulk. Energies are from PBE.

Cell lengths 6.3530, 6.3530, 6.3530 Å; angles 147.92, 124.95, 65.15 degrees
With the nearest neighbours (Å) after each atom.
Sites, in units of the cell vectors:
1 Hg 0.0000 0.0000 0.0000  2 Sb 3.11, 2 Hg 3.19, 4 Br 3.43
2 Hg 0.7513 0.2513 0.5000  4 Hg 3.19-3.51, 4 Sb 3.42, 2 Br 3.48
3 Sb 0.2395 0.7395 0.5000  2 Br 3.04, 2 Hg 3.11
4 Br 0.4709 0.4709 0.0000  2 Sb 3.04

## Properties
Its space-group type is Imm2. Its energy above the most stable polymorph in this dataset is 273 meV per atom. The formation energy without anion corrections comes out at 0.3 eV per formula unit. As for the total moment: 0.0 μB/f.u.

---

Here is a relaxed Hg2SbBr crystal from Alexandria via LeMat-Bulk. Energies are from PBE.

Cell lengths 8.3831, 8.3831, 4.3018 Å; angles 104.76, 104.76, 28.93 degrees
With the nearest neighbours (Å) after each atom.
Sites, in units of the cell vectors:
1 Hg 0.0000 0.0000 0.0000  1 Sb 2.73, 2 Br 2.81
2 Hg 0.6728 0.6728 0.6214  4 Sb 3.00-3.01
3 Sb 0.1736 0.1736 0.1211  5 Hg 2.73-3.01
4 Br 0.3822 0.3822 0.9480  2 Hg 2.81

## Properties
Its space-group type is Cm. Its energy above the most stable polymorph in this dataset is 75 meV per atom. The formation energy without anion corrections comes out at -0.5 eV per formula unit. As for the total moment: 0.0 μB/f.u.

---

Here is a relaxed Hg2SbBr8 crystal from Alexandria via LeMat-Bulk. Energies are from PBE.

Cell lengths 8.7467, 8.7467, 6.8787 Å; angles 90.92, 90.92, 58.44 degrees
With the nearest neighbours (Å) after each atom.
Sites, in units of the cell vectors:
1 Hg 0.1825 0.1825 0.1247  3 Br 2.51-2.74
2 Hg 0.8175 0.8175 0.8753  3 Br 2.51-2.74
3 Sb 0.0000 0.0000 0.5000  6 Br 2.73-2.76
4 Br 0.1533 0.7040 0.7385  1 Hg 2.74, 1 Sb 2.76
5 Br 0.1537 0.1537 0.7086  1 Sb 2.73, 1 Hg 2.89
6 Br 0.2960 0.8467 0.2615  1 Hg 2.74, 1 Sb 2.76
7 Br 0.3464 0.3464 0.1095  1 Hg 2.51
8 Br 0.6536 0.6536 0.8905  1 Hg 2.51
9 Br 0.7040 0.1533 0.7385  1 Hg 2.74, 1 Sb 2.76
10 Br 0.8463 0.8463 0.2914  1 Sb 2.73, 1 Hg 2.89
11 Br 0.8467 0.2960 0.2615  1 Hg 2.74, 1 Sb 2.76

## Properties
Its space-group type is C2/m. Its energy above the most stable polymorph in this dataset is 0 meV per atom. The formation energy without anion corrections comes out at -4.3 eV per formula unit. As for the total moment: 0.0 μB/f.u.

---

Here is a relaxed HgSbBr2 crystal from Alexandria via LeMat-Bulk. Energies are from PBE.

Cell lengths 3.6922, 3.6922, 8.7940 Å; angles 90.00, 90.00, 90.00 degrees
With the nearest neighbours (Å) after each atom.
Sites, in units of the cell vectors:
1 Hg 0.0000 0.0000 0.0000  4 Br 3.06, 4 Sb 3.17
2 Sb 0.5000 0.5000 0.2047  4 Hg 3.17, 5 Br 3.22-3.40
3 Br 0.0000 0.0000 0.4186  4 Sb 3.22
4 Br 0.5000 0.5000 0.8184  4 Hg 3.06, 1 Sb 3.40

## Properties
Its space-group type is P4mm. Its energy above the most stable polymorph in this dataset is 236 meV per atom. The formation energy without anion corrections comes out at -0.2 eV per formula unit. As for the total moment: 0.0 μB/f.u.

---

Here is a relaxed Hg3Sb2Br2 crystal from Alexandria via LeMat-Bulk. Energies are from PBE.

Cell lengths 4.9343, 6.5038, 8.8317 Å; angles 80.62, 86.50, 71.34 degrees
With the nearest neighbours (Å) after each atom.
Sites, in units of the cell vectors:
1 Hg 0.0000 0.0000 0.0000  2 Sb 2.81
2 Hg 0.2100 0.2545 0.3265  1 Br 2.59, 1 Sb 2.71
3 Hg 0.7900 0.7455 0.6735  1 Br 2.59, 1 Sb 2.71
4 Sb 0.2637 0.3189 0.0170  2 Hg 2.71-2.81, 1 Sb 2.89
5 Sb 0.7363 0.6811 0.9830  2 Hg 2.71-2.81, 1 Sb 2.89
6 Br 0.1688 0.1913 0.6228  1 Hg 2.59
7 Br 0.8312 0.8087 0.3772  1 Hg 2.59

## Properties
Its space-group type is P-1. Its energy above the most stable polymorph in this dataset is 0 meV per atom. The formation energy without anion corrections comes out at -1.6 eV per formula unit. As for the total moment: 0.0 μB/f.u.

---

Here is a relaxed Hg2SbBr crystal from Alexandria via LeMat-Bulk. Energies are from PBE.

Cell lengths 3.6355, 3.6355, 8.5141 Å; angles 90.00, 90.00, 90.00 degrees
With the nearest neighbours (Å) after each atom.
Sites, in units of the cell vectors:
1 Hg 0.0000 0.0000 0.0000  8 Hg 3.38-3.64, 4 Br 3.60
2 Hg 0.5000 0.5000 0.2573  4 Sb 3.17, 4 Hg 3.38
3 Sb 0.0000 0.0000 0.4743  4 Hg 3.17, 4 Br 3.23
4 Br 0.5000 0.5000 0.7033  4 Sb 3.23, 4 Hg 3.60

## Properties
Its space-group type is P4mm. Its energy above the most stable polymorph in this dataset is 307 meV per atom. The formation energy without anion corrections comes out at 0.4 eV per formula unit. As for the total moment: 0.0 μB/f.u.

---

Here is a relaxed HgSbBr2 crystal from Alexandria via LeMat-Bulk. Energies are from PBE.

Cell lengths 8.4107, 8.4107, 8.4107 Å; angles 96.90, 96.90, 139.45 degrees
With the nearest neighbours (Å) after each atom.
Sites, in units of the cell vectors:
1 Hg 0.0000 0.0000 0.0000  2 Sb 2.91
2 Hg 0.7500 0.2500 0.5000  2 Sb 2.91
3 Sb 0.2500 0.7500 0.5000  4 Br 2.88, 2 Hg 2.91
4 Sb 0.5000 0.5000 0.0000  4 Br 2.88, 2 Hg 2.91
5 Br 0.3736 0.1250 0.7486  2 Sb 2.88
6 Br 0.3750 0.6264 0.7514  2 Sb 2.88
7 Br 0.3764 0.6250 0.2514  2 Sb 2.88
8 Br 0.8750 0.6236 0.2486  2 Sb 2.88

## Properties
Its space-group type is I-42d. Its energy above the most stable polymorph in this dataset is 46 meV per atom. The formation energy without anion corrections comes out at -1.0 eV per formula unit. As for the total moment: 0.0 μB/f.u.

---

Here is a relaxed HgSbBr2 crystal from Alexandria via LeMat-Bulk. Energies are from PBE.

Cell lengths 10.4946, 10.4946, 10.4946 Å; angles 20.32, 20.32, 20.32 degrees
With the nearest neighbours (Å) after each atom.
Sites, in units of the cell vectors:
1 Hg 0.0000 0.0000 0.0000  6 Br 3.26
2 Sb 0.5000 0.5000 0.5000  2 Br 2.68
3 Br 0.4131 0.4131 0.4131  1 Sb 2.68
4 Br 0.5869 0.5869 0.5869  1 Sb 2.68

## Properties
Its space-group type is R-3m. Its energy above the most stable polymorph in this dataset is 206 meV per atom. The formation energy without anion corrections comes out at -0.3 eV per formula unit. As for the total moment: 0.0 μB/f.u.

---

Here is a relaxed HgSbBr2 crystal from Alexandria via LeMat-Bulk. Energies are from PBE.

Cell lengths 3.9494, 3.9494, 9.6767 Å; angles 90.00, 90.00, 118.29 degrees
With the nearest neighbours (Å) after each atom.
Sites, in units of the cell vectors:
1 Hg 0.0000 0.0000 0.0000  2 Br 2.75, 2 Sb 2.96
2 Sb 0.5000 0.5000 0.7776  2 Br 2.86, 2 Hg 2.96
3 Br 0.0000 0.0000 0.5688  2 Sb 2.86
4 Br 0.5000 0.5000 0.1923  2 Hg 2.75

## Properties
Its space-group type is Cmm2. Its energy above the most stable polymorph in this dataset is 145 meV per atom. The formation energy without anion corrections comes out at -0.6 eV per formula unit. As for the total moment: 0.0 μB/f.u.

---

Here is a relaxed Hg2SbBr crystal from Alexandria via LeMat-Bulk. Energies are from PBE.

Cell lengths 9.3278, 9.3278, 9.3278 Å; angles 23.10, 23.10, 23.10 degrees
With the nearest neighbours (Å) after each atom.
Sites, in units of the cell vectors:
1 Hg 0.0000 0.0000 0.0000  3 Hg 3.05, 3 Br 3.05
2 Hg 0.2541 0.2541 0.2541  3 Hg 3.05, 3 Sb 3.10
3 Sb 0.5058 0.5058 0.5058  3 Hg 3.10, 3 Br 3.33
4 Br 0.7461 0.7461 0.7461  3 Hg 3.05, 3 Sb 3.33

## Properties
Its space-group type is R3m. Its energy above the most stable polymorph in this dataset is 253 meV per atom. The formation energy without anion corrections comes out at 0.2 eV per formula unit. As for the total moment: 0.0 μB/f.u.

---

Here is a relaxed Hg5SbBr2 crystal from Alexandria via LeMat-Bulk. Energies are from PBE.

Cell lengths 7.0288, 7.0288, 7.0288 Å; angles 117.95, 117.95, 93.58 degrees
With the nearest neighbours (Å) after each atom.
Sites, in units of the cell vectors:
1 Hg 0.0000 0.0000 0.0000  1 Sb 2.75, 4 Hg 3.02
2 Hg 0.4291 0.4291 0.4354  1 Sb 2.89, 3 Hg 3.02-3.15
3 Hg 0.4291 0.9937 0.0000  1 Sb 2.89, 3 Hg 3.02-3.15
4 Hg 0.9937 0.4291 0.0000  1 Sb 2.89, 3 Hg 3.02-3.15
5 Hg 0.9937 0.9937 0.5646  1 Sb 2.89, 3 Hg 3.02-3.15
6 Sb 0.7142 0.7142 0.0000  5 Hg 2.75-2.89
7 Br 0.4374 0.9374 0.5000  10 Hg 3.38-3.69
8 Br 0.9374 0.4374 0.5000  10 Hg 3.38-3.69

## Properties
Its space-group type is I4mm. The formation energy without anion corrections comes out at -0.8 eV per formula unit. As for the total moment: 0.0 μB/f.u.

---

Here is a relaxed Hg2Sb2Br crystal from Alexandria via LeMat-Bulk. Energies are from PBE.

Cell lengths 6.0858, 6.0858, 6.0858 Å; angles 123.10, 123.10, 84.72 degrees
With the nearest neighbours (Å) after each atom.
Sites, in units of the cell vectors:
1 Hg 0.2500 0.7500 0.5000  4 Sb 3.00
2 Hg 0.7500 0.2500 0.5000  4 Sb 3.00
3 Sb 0.1661 0.1661 0.0000  1 Sb 2.99, 4 Hg 3.00, 1 Br 3.00
4 Sb 0.8339 0.8339 0.0000  1 Sb 2.99, 4 Hg 3.00, 1 Br 3.00
5 Br 0.5000 0.5000 0.0000  2 Sb 3.00

## Properties
Its space-group type is I4/mmm. Its energy above the most stable polymorph in this dataset is 0 meV per atom. The formation energy without anion corrections comes out at 0.1 eV per formula unit. As for the total moment: 0.0 μB/f.u.

---

Here is a relaxed Hg2SbBr crystal from Alexandria via LeMat-Bulk. Energies are from PBE.

Cell lengths 5.3202, 5.3202, 5.3202 Å; angles 60.00, 60.00, 60.00 degrees
With the nearest neighbours (Å) after each atom.
Sites, in units of the cell vectors:
1 Hg 0.0000 0.0000 0.0000  4 Hg 3.26, 4 Sb 3.26
2 Hg 0.2500 0.2500 0.2500  4 Hg 3.26, 4 Br 3.26
3 Sb 0.7500 0.7500 0.7500  4 Hg 3.26, 4 Br 3.26
4 Br 0.5000 0.5000 0.5000  4 Hg 3.26, 4 Sb 3.26

## Properties
Its space-group type is F-43m. Its energy above the most stable polymorph in this dataset is 388 meV per atom. The formation energy without anion corrections comes out at 0.7 eV per formula unit. As for the total moment: 0.0 μB/f.u.

---

Here is a relaxed Hg2SbBr crystal from Alexandria via LeMat-Bulk. Energies are from PBE.

Cell lengths 7.5743, 7.5743, 7.5743 Å; angles 33.53, 33.53, 33.53 degrees
With the nearest neighbours (Å) after each atom.
Sites, in units of the cell vectors:
1 Hg 0.2398 0.2398 0.2398  3 Sb 2.97, 3 Br 3.22
2 Hg 0.7602 0.7602 0.7602  3 Sb 2.97, 3 Br 3.22
3 Sb 0.5000 0.5000 0.5000  6 Hg 2.97
4 Br 0.0000 0.0000 0.0000  6 Hg 3.22

## Properties
Its space-group type is R-3m. Its energy above the most stable polymorph in this dataset is 154 meV per atom. The formation energy without anion corrections comes out at -0.2 eV per formula unit. As for the total moment: 0.0 μB/f.u.

---

Here is a relaxed Hg3SbBr9 crystal from Alexandria via LeMat-Bulk. Energies are from PBE.

Cell lengths 11.3855, 11.3855, 13.6855 Å; angles 126.35, 126.35, 56.92 degrees
With the nearest neighbours (Å) after each atom.
Sites, in units of the cell vectors:
1 Hg 0.0711 0.9289 0.5000  2 Br 2.46-2.47
2 Hg 0.3552 0.5275 0.2338  2 Br 2.44-2.48
3 Hg 0.5275 0.3552 0.7338  2 Br 2.44-2.48
4 Hg 0.6243 0.7862 0.6208  2 Br 2.47
5 Hg 0.7862 0.6243 0.1208  2 Br 2.47
6 Hg 0.9289 0.0711 0.0000  2 Br 2.46-2.47
7 Sb 0.3580 0.8951 0.9227  3 Br 2.56-2.63
8 Sb 0.8951 0.3580 0.4227  3 Br 2.56-2.63
9 Br 0.0215 0.2078 0.6230  1 Hg 2.46
10 Br 0.0855 0.9002 0.7346  1 Sb 2.60
11 Br 0.1066 0.6512 0.3684  1 Hg 2.47
12 Br 0.1541 0.3493 0.4720  1 Sb 2.56
13 Br 0.1588 0.6166 0.0560  1 Hg 2.44
14 Br 0.2078 0.0215 0.1230  1 Hg 2.46
15 Br 0.3493 0.1541 0.9720  1 Sb 2.56
16 Br 0.3669 0.8948 0.4763  1 Hg 2.47
17 Br 0.4221 0.5557 0.9047  1 Hg 2.48
18 Br 0.5093 0.7278 0.7703  1 Sb 2.63
19 Br 0.5557 0.4221 0.4047  1 Hg 2.48
20 Br 0.6166 0.1588 0.5560  1 Hg 2.44
21 Br 0.6512 0.1066 0.8684  1 Hg 2.47
22 Br 0.6548 0.8964 0.2259  1 Hg 2.47
23 Br 0.7278 0.5093 0.2703  1 Sb 2.63
24 Br 0.8948 0.3669 0.9763  1 Hg 2.47
25 Br 0.8964 0.6548 0.7259  1 Hg 2.47
26 Br 0.9002 0.0855 0.2346  1 Sb 2.60

## Properties
Its space-group type is Cc. The formation energy without anion corrections comes out at -6.2 eV per formula unit. As for the total moment: 0.0 μB/f.u.

---

Here is a relaxed HgSbBr2 crystal from Alexandria via LeMat-Bulk. Energies are from PBE.

Cell lengths 5.3326, 5.3326, 5.3326 Å; angles 60.00, 60.00, 60.00 degrees
With the nearest neighbours (Å) after each atom.
Sites, in units of the cell vectors:
1 Hg 0.0000 0.0000 0.0000  4 Br 3.27, 4 Sb 3.27
2 Sb 0.7500 0.7500 0.7500  4 Hg 3.27, 4 Br 3.27
3 Br 0.2500 0.2500 0.2500  4 Br 3.27, 4 Hg 3.27
4 Br 0.5000 0.5000 0.5000  4 Sb 3.27, 4 Br 3.27

## Properties
Its space-group type is F-43m. Its energy above the most stable polymorph in this dataset is 473 meV per atom. The formation energy without anion corrections comes out at 0.7 eV per formula unit. As for the total moment: 0.6 μB/f.u.

---

Here is a relaxed Hg2SbBr crystal from Alexandria via LeMat-Bulk. Energies are from PBE.

Cell lengths 4.1769, 4.1769, 7.1854 Å; angles 90.00, 90.00, 90.00 degrees
With the nearest neighbours (Å) after each atom.
Sites, in units of the cell vectors:
1 Hg 0.0000 0.0000 0.0000  1 Sb 2.77
2 Hg 0.5000 0.5000 0.3901  4 Sb 2.95, 1 Br 3.24
3 Sb 0.0000 0.0000 0.3857  5 Hg 2.77-2.95
4 Br 0.5000 0.5000 0.8414  5 Hg 3.17-3.24

## Properties
Its space-group type is P4mm. Its energy above the most stable polymorph in this dataset is 116 meV per atom. The formation energy without anion corrections comes out at -0.4 eV per formula unit. As for the total moment: 0.0 μB/f.u.

---

Here is a relaxed HgSbBr2 crystal from Alexandria via LeMat-Bulk. Energies are from PBE.

Cell lengths 3.5706, 4.0175, 10.4784 Å; angles 90.33, 90.78, 90.32 degrees
With the nearest neighbours (Å) after each atom.
Sites, in units of the cell vectors:
1 Hg 0.0000 0.0000 0.0000  2 Hg 3.57
2 Sb 0.4994 0.0011 0.5003  4 Br 2.83
3 Br 0.4893 0.4982 0.3101  2 Sb 2.83
4 Br 0.5096 0.5041 0.6905  2 Sb 2.83

## Properties
Its space-group type is P1. Its energy above the most stable polymorph in this dataset is 0 meV per atom. The formation energy without anion corrections comes out at -1.2 eV per formula unit. As for the total moment: 0.0 μB/f.u.